1.
## AcCeAu4 (PBE)

Data for an optimized crystal structure of AcCeAu4.

**Energy relative to the lowest polymorph listed for this composition**: 0.000 eV per atom
**E_tot**: -4.61 eV/atom
**Energy relative to the elements**: -0.754 eV/atom
**Symmetry**: No. 12

Cell lengths 4.8243, 4.8243, 8.8429 Å; angles 74.14, 74.14, 120.02 degrees
Closest atoms and distances in Å follow each position.
Atoms (fractional coordinates):
Ac (0.5013, 0.4973, 0.9981)  12 Au 3.44-3.45, 2 Ce 3.70
Au (0.1083, 0.4376, 0.7244)  3 Au 2.79
Au (0.4416, 0.1043, 0.7244)  3 Au 2.79
Au (0.8943, 0.5570, 0.2719)  3 Au 2.79
Au (0.5610, 0.8903, 0.2718)  3 Au 2.79
Ce (0.0013, 0.9973, 0.4981)  12 Au 3.25



2.
## NbHI2Br (PBE)

Data for an optimized crystal structure of NbHI2Br.

**E_tot**: -3.40 eV/atom
**Symmetry**: No. 123

Cell lengths 5.6612, 5.1857, 5.6612 Å; angles 90.00, 90.00, 90.00 degrees
Closest atoms and distances in Å follow each position.
Atoms (fractional coordinates):
I (0.5000, 0.0000, 0.0000)  2 Nb 2.83
I (0.0000, 0.0000, 0.5000)  2 Nb 2.83
Br (0.0000, 0.5000, 0.0000)  2 Nb 2.59
H (0.5000, 0.5000, 0.5000)  8 I 3.84, 4 Br 4.00
Nb (0.0000, 0.0000, 0.0000)  2 Br 2.59, 4 I 2.83



3.
## PmBi2F8 (PBE)

Data for an optimized crystal structure of PmBi2F8.

**Energy relative to the lowest polymorph listed for this composition**: 0.013 eV per atom
**E_tot**: -5.31 eV/atom
**Formation energy (no corrections)**: -30.956 eV/f.u.
**Symmetry**: No. 2

Cell lengths 5.1593, 7.7999, 6.8033 Å; angles 125.15, 98.48, 90.13 degrees
Closest atoms and distances in Å follow each position.
Atoms (fractional coordinates):
Bi (0.2377, 0.3845, 0.7692)  5 F 2.28-2.38
Bi (0.7623, 0.6155, 0.2308)  5 F 2.28-2.38
F (0.2887, 0.1816, 0.3606)  1 Pm 2.27, 1 Bi 2.33
F (0.2079, 0.1232, 0.8238)  1 Bi 2.28, 1 Pm 2.28
F (0.7915, 0.2993, 0.1752)  1 Bi 2.28, 1 Pm 2.28
F (0.7921, 0.8768, 0.1762)  1 Bi 2.28, 1 Pm 2.28
F (0.2027, 0.5958, 0.1902)  2 Bi 2.32-2.38
F (0.7973, 0.4042, 0.8097)  2 Bi 2.32-2.38
F (0.7113, 0.8184, 0.6393)  1 Pm 2.27, 1 Bi 2.33
F (0.2085, 0.7007, 0.8248)  1 Bi 2.28, 1 Pm 2.28
Pm (0.0000, 0.0000, 0.0000)  6 F 2.27-2.28



4.
## AgTe2Pt2 (PBE)

Data for an optimized crystal structure of AgTe2Pt2.

**Energy relative to the lowest polymorph listed for this composition**: 0.000 eV per atom
**E_tot**: -4.25 eV/atom
**Formation energy (no corrections)**: -0.014 eV/f.u.
**Symmetry**: No. 127

Cell lengths 7.3687, 7.3687, 3.8259 Å; angles 90.00, 90.00, 90.00 degrees
Closest atoms and distances in Å follow each position.
Atoms (fractional coordinates):
Pt (0.8643, 0.6357, 0.0000)  6 Te 2.78-2.97, 1 Pt 2.83, 2 Ag 2.86
Pt (0.3643, 0.8643, 0.0000)  6 Te 2.78-2.97, 1 Pt 2.83, 2 Ag 2.86
Pt (0.6357, 0.1357, 0.0000)  6 Te 2.78-2.97, 1 Pt 2.83, 2 Ag 2.86
Pt (0.1357, 0.3643, 0.0000)  6 Te 2.78-2.97, 1 Pt 2.83, 2 Ag 2.86
Ag (0.5000, 0.5000, 0.0000)  4 Pt 2.86
Ag (0.0000, 0.0000, 0.0000)  4 Pt 2.86
Te (0.1710, 0.6710, 0.5000)  6 Pt 2.78-2.97
Te (0.3290, 0.1710, 0.5000)  6 Pt 2.78-2.97
Te (0.8290, 0.3290, 0.5000)  6 Pt 2.78-2.97
Te (0.6710, 0.8290, 0.5000)  6 Pt 2.78-2.97



5.
## SbAu5 (PBE)

Data for an optimized crystal structure of SbAu5.

**E_tot**: -3.39 eV/atom
**Formation energy (no corrections)**: 0.168 eV/f.u.
**Symmetry**: No. 189

Cell lengths 5.1961, 5.1961, 4.9320 Å; angles 90.00, 90.00, 120.00 degrees
Closest atoms and distances in Å follow each position.
Atoms (fractional coordinates):
Au (0.3333, 0.6600, 0.0000)  10 Au 2.97-3.06, 2 Sb 3.03
Au (0.6667, 0.6667, 0.5000)  9 Au 3.00, 3 Sb 3.00
Au (0.6734, 0.3400, 0.0000)  10 Au 2.97-3.06, 2 Sb 3.03
Au (0.9933, 0.0000, 0.0000)  10 Au 2.97-3.06, 2 Sb 3.03
Au (0.0000, 0.3333, 0.5000)  9 Au 3.00, 3 Sb 3.00
Sb (0.3333, 0.0000, 0.5000)  12 Au 3.00-3.03



6.
## GeSe2BrN (PBE)

Data for an optimized crystal structure of GeSe2BrN.

**Energy relative to the lowest polymorph listed for this composition**: 0.427 eV per atom
**E_tot**: -3.03 eV/atom
**Formation energy (no corrections)**: 6.414 eV/f.u.
**Symmetry**: No. 123

Cell lengths 5.0377, 5.0377, 5.4319 Å; angles 90.00, 90.00, 90.00 degrees
Closest atoms and distances in Å follow each position.
Atoms (fractional coordinates):
Se (0.0000, 0.5000, 0.0000)  2 Ge 2.52
Se (0.5000, 0.0000, 0.0000)  2 Ge 2.52
Br (0.0000, 0.0000, 0.5000)  2 Ge 2.72
Ge (0.0000, 0.0000, 0.0000)  4 Se 2.52, 2 Br 2.72
N (0.5000, 0.5000, 0.5000)  4 Br 3.56, 8 Se 3.70